ThMnBr6 (PBE, optimized geometry); space group = C2/m, No. 12; M_tot = 5.00 μB per formula unit; formation energy (no corrections) = -1.346 eV/atom; raw total energy = -4.674 eV/atom
1.0
7.400 -0.996 -0.840
-3.192 6.750 -0.840
0.950 1.299 6.830
Br Mn Th
6 1 1
direct
0.005 0.291 0.234
0.995 0.709 0.766
0.705 0.705 0.233
0.291 0.005 0.234
0.295 0.295 0.767
0.709 0.995 0.766
0.000 0.000 0.000
0.000 0.000 0.500


Th6MnBr15 (PBE, optimized geometry); space group = Im-3m, No. 229; M_tot = 2.10 μB per formula unit; formation energy (no corrections) = -1.520 eV/atom; raw total energy = -5.101 eV/atom
1.0
10.141 0.000 0.000
-3.380 9.561 0.000
-3.380 -4.781 8.280
Br Th Mn
15 6 1
direct
0.250 0.500 0.250
0.500 0.750 0.750
0.500 0.250 0.250
0.750 0.250 0.000
0.250 0.000 0.750
0.250 0.250 0.500
0.750 0.000 0.250
0.750 0.750 0.500
0.500 0.500 0.000
0.000 0.250 0.750
0.500 0.000 0.500
0.750 0.500 0.750
0.000 0.500 0.500
0.250 0.750 0.000
0.000 0.750 0.250
0.237 0.237 0.000
0.763 0.000 0.763
0.000 0.763 0.763
0.763 0.763 0.000
0.000 0.237 0.237
0.237 0.000 0.237
0.000 0.000 0.000


ThMnBr6 (PBE, optimized geometry); space group = R-3, No. 148; M_tot = 5.00 μB per formula unit; formation energy (no corrections) = -1.319 eV/atom; raw total energy = -4.647 eV/atom
1.0
7.040 0.008 0.011
3.511 6.098 0.015
3.511 2.024 6.380
Mn Br Th
1 6 1
direct
0.000 0.000 0.000
0.242 0.904 0.242
0.388 0.758 0.758
0.758 0.096 0.758
0.904 0.612 0.242
0.612 0.242 0.242
0.096 0.388 0.758
0.500 0.500 0.500


Ti2MnBr (PBE, optimized geometry); space group = I-42d, No. 122; M_tot = 0.00 μB per formula unit; formation energy (no corrections) = 0.538 eV/atom; raw total energy = -6.120 eV/atom
1.0
-2.278 -4.499 -2.277
0.764 -2.777 4.725
-5.892 -1.958 3.041
Ti Mn Br
4 2 2
direct
0.375 0.452 0.750
0.202 0.625 0.250
0.875 0.798 0.750
0.548 0.125 0.250
0.500 0.500 0.000
0.250 0.750 0.500
0.750 0.250 0.500
0.000 0.000 0.000


Ti2MnBr (PBE, optimized geometry); space group = Fm-3m, No. 225; M_tot = 1.33 μB per formula unit; formation energy (no corrections) = 0.347 eV/atom; raw total energy = -6.311 eV/atom
1.0
0.000 3.175 3.175
3.175 0.000 3.175
3.175 3.175 0.000
Ti Br Mn
2 1 1
direct
0.250 0.250 0.250
0.750 0.750 0.750
0.500 0.500 0.500
0.000 0.000 0.000


Ti2MnBr8 (PBE, optimized geometry); space group = C2/m, No. 12; M_tot = 3.00 μB per formula unit; formation energy (no corrections) = -1.001 eV/atom; raw total energy = -4.487 eV/atom
1.0
-6.399 0.248 -0.794
-0.550 -7.743 2.508
-0.888 1.189 8.021
Br Ti Mn
8 2 1
direct
0.213 0.911 0.281
0.274 0.824 0.824
0.213 0.281 0.911
0.726 0.176 0.176
0.253 0.371 0.371
0.787 0.089 0.719
0.787 0.719 0.089
0.747 0.629 0.629
0.648 0.810 0.810
0.352 0.190 0.190
0.000 0.000 0.000


Ti2MnBr6 (PBE, optimized geometry); space group = C2/m, No. 12; M_tot = 7.16 μB per formula unit; formation energy (no corrections) = -0.740 eV/atom; raw total energy = -4.629 eV/atom
1.0
-4.300 2.362 -0.228
-1.277 -7.036 4.105
1.574 3.359 5.122
Mn Br Ti
1 6 2
direct
0.000 0.000 0.500
0.415 0.830 0.298
0.756 0.512 0.267
0.092 0.184 0.195
0.908 0.816 0.805
0.244 0.488 0.733
0.585 0.170 0.702
0.255 0.511 0.142
0.745 0.489 0.858


MnTlBr4 (PBE, optimized geometry); space group = F-43m, No. 216; M_tot = 4.18 μB per formula unit; formation energy (no corrections) = 0.394 eV/atom; raw total energy = -2.644 eV/atom
1.0
1.295 -4.113 4.885
-4.789 -1.974 3.953
-2.123 -6.154 -0.274
Br Mn Tl
4 1 1
direct
0.376 0.873 0.376
0.376 0.376 0.376
0.873 0.376 0.376
0.376 0.376 0.873
0.750 0.750 0.750
0.000 0.000 0.000